## A
{"formula": "La2S2O", "functional": "GGA-PBEsol", "state": "relaxed", "crystal_system": "orthorhombic", "cell": [[-2.500, -3.003, -1.059], [2.716, -4.049, 5.070], [-10.702, 5.374, 10.025]], "species": ["La", "La", "La", "La", "La", "La", "La", "La", "S", "S", "S", "S", "S", "S", "S", "S", "O", "O", "O", "O"], "frac_coords": [[0.750, 0.210, 0.038], [0.750, 0.761, 0.176], [0.250, 0.261, 0.324], [0.250, 0.710, 0.462], [0.750, 0.290, 0.538], [0.750, 0.739, 0.676], [0.250, 0.239, 0.824], [0.250, 0.790, 0.962], [0.250, 0.511, 0.110], [0.250, 0.042, 0.171], [0.750, 0.542, 0.329], [0.750, 0.011, 0.390], [0.250, 0.989, 0.610], [0.250, 0.458, 0.671], [0.750, 0.958, 0.829], [0.750, 0.489, 0.890], [0.750, 0.864, 0.034], [0.250, 0.364, 0.466], [0.750, 0.636, 0.534], [0.250, 0.136, 0.966]]}

## B
{"formula": "La2S2O", "functional": "GGA-PBEsol", "state": "relaxed", "crystal_system": "monoclinic", "cell": [[7.093, 0.000, 0.040], [0.000, 7.254, 0.000], [-1.221, 0.000, 8.499]], "species": ["La", "La", "La", "La", "La", "La", "La", "La", "S", "S", "S", "S", "S", "S", "S", "S", "O", "O", "O", "O"], "frac_coords": [[0.248, 0.443, 0.861], [0.748, 0.057, 0.861], [0.308, 0.873, 0.585], [0.808, 0.627, 0.585], [0.192, 0.373, 0.415], [0.692, 0.127, 0.415], [0.252, 0.943, 0.139], [0.752, 0.557, 0.139], [0.475, 0.772, 0.921], [0.975, 0.728, 0.921], [0.050, 0.156, 0.670], [0.550, 0.344, 0.670], [0.450, 0.656, 0.330], [0.950, 0.844, 0.330], [0.025, 0.272, 0.079], [0.525, 0.228, 0.079], [0.150, 0.588, 0.617], [0.650, 0.912, 0.617], [0.350, 0.088, 0.383], [0.850, 0.412, 0.383]]}

Energies relative to the most stable structure, in meV/atom: A 11; B 0.

## A
{"formula": "La2Se2O", "functional": "GGA-PBEsol", "state": "relaxed", "crystal_system": "monoclinic", "cell": [[-4.466, 2.209, -5.407], [-5.749, -0.225, 4.656], [2.355, 7.906, 3.289]], "species": ["La", "La", "La", "La", "La", "La", "La", "La", "Se", "Se", "Se", "Se", "Se", "Se", "Se", "Se", "O", "O", "O", "O"], "frac_coords": [[0.245, 0.447, 0.857], [0.745, 0.053, 0.857], [0.322, 0.857, 0.576], [0.822, 0.643, 0.576], [0.178, 0.357, 0.424], [0.678, 0.143, 0.424], [0.255, 0.947, 0.143], [0.755, 0.553, 0.143], [0.473, 0.775, 0.921], [0.973, 0.725, 0.921], [0.059, 0.135, 0.677], [0.559, 0.365, 0.677], [0.441, 0.635, 0.323], [0.941, 0.865, 0.323], [0.027, 0.275, 0.079], [0.527, 0.225, 0.079], [0.149, 0.585, 0.614], [0.649, 0.915, 0.614], [0.351, 0.085, 0.386], [0.851, 0.415, 0.386]]}

## B
{"formula": "La2Se2O", "functional": "GGA-PBEsol", "state": "relaxed", "crystal_system": "orthorhombic", "cell": [[4.143, 0.000, 0.000], [0.000, 7.280, 0.000], [0.000, 0.000, 16.221]], "species": ["La", "La", "La", "La", "La", "La", "La", "La", "Se", "Se", "Se", "Se", "Se", "Se", "Se", "Se", "O", "O", "O", "O"], "frac_coords": [[0.250, 0.701, 0.036], [0.250, 0.259, 0.169], [0.750, 0.759, 0.331], [0.750, 0.201, 0.464], [0.250, 0.799, 0.536], [0.250, 0.241, 0.669], [0.750, 0.741, 0.831], [0.750, 0.299, 0.964], [0.750, 0.006, 0.106], [0.750, 0.547, 0.172], [0.250, 0.047, 0.328], [0.250, 0.506, 0.394], [0.750, 0.494, 0.606], [0.750, 0.953, 0.672], [0.250, 0.453, 0.828], [0.250, 0.994, 0.894], [0.250, 0.369, 0.033], [0.750, 0.869, 0.467], [0.250, 0.131, 0.533], [0.750, 0.631, 0.967]]}

Energies relative to the most stable structure, in meV/atom: A 0; B 5.

## A
{"formula": "LaSi3O", "functional": "GGA-PBEsol", "state": "relaxed", "crystal_system": "cubic", "cell": [[-3.139, 3.938, -2.201], [-3.379, -0.275, 4.326], [2.989, 3.824, 2.578]], "species": ["Si", "Si", "Si", "O", "La"], "frac_coords": [[0.000, 0.500, 0.000], [0.000, 0.000, 0.500], [0.500, 0.000, 0.000], [0.500, 0.500, 0.500], [0.000, 0.000, 0.000]]}

## B
{"formula": "LaSi3O", "functional": "GGA-PBEsol", "state": "relaxed", "crystal_system": "cubic", "cell": [[-0.010, 4.364, 0.074], [-4.028, 0.019, -1.679], [-1.679, -0.073, 4.028]], "species": ["Si", "Si", "Si", "O", "La"], "frac_coords": [[0.000, 0.500, 0.000], [0.000, 0.000, 0.500], [0.500, 0.000, 0.000], [0.000, 0.000, 0.000], [0.500, 0.500, 0.500]]}

Energies relative to the most stable structure, in meV/atom: A 2329; B 0.

## A
{"formula": "La3TaO7", "functional": "GGA-PBEsol", "state": "relaxed", "crystal_system": "orthorhombic", "cell": [[3.941, 0.000, 0.000], [0.000, 6.699, -0.028], [0.000, -2.354, 6.272]], "species": ["La", "La", "La", "Ta", "O", "O", "O", "O", "O", "O", "O"], "frac_coords": [[0.000, 0.000, 0.000], [0.500, 0.500, 0.000], [0.500, 0.000, 0.500], [0.000, 0.500, 0.500], [0.500, 0.500, 0.500], [0.000, 0.430, 0.183], [0.000, 0.817, 0.570], [0.000, 0.570, 0.817], [0.000, 0.183, 0.430], [0.500, 0.130, 0.870], [0.500, 0.870, 0.130]]}

## B
{"formula": "La3TaO7", "functional": "GGA-PBEsol", "state": "relaxed", "crystal_system": "orthorhombic", "cell": [[6.702, -0.027, 0.000], [-2.480, 6.226, 0.000], [0.000, 0.000, 7.740]], "species": ["La", "La", "La", "La", "La", "La", "Ta", "Ta", "O", "O", "O", "O", "O", "O", "O", "O", "O", "O", "O", "O", "O", "O"], "frac_coords": [[0.000, 0.000, 0.000], [0.000, 0.000, 0.500], [0.928, 0.475, 0.250], [0.072, 0.525, 0.750], [0.475, 0.928, 0.250], [0.525, 0.072, 0.750], [0.500, 0.500, 0.000], [0.500, 0.500, 0.500], [0.105, 0.845, 0.250], [0.895, 0.155, 0.750], [0.845, 0.105, 0.250], [0.155, 0.895, 0.750], [0.187, 0.438, 0.033], [0.813, 0.562, 0.533], [0.438, 0.187, 0.467], [0.562, 0.813, 0.967], [0.436, 0.436, 0.750], [0.564, 0.564, 0.250], [0.438, 0.187, 0.033], [0.562, 0.813, 0.533], [0.187, 0.438, 0.467], [0.813, 0.562, 0.967]]}

Energies relative to the most stable structure, in meV/atom: A 24; B 0.